{"formula": "PrSc2MoN4", "functional": "GGA-PBE", "state": "relaxed", "energy_ev_per_atom": -8.8893, "dos_at_fermi_per_ev_atom": 0.278, "cell": [[1.6598, -5.7494, 0.0000], [1.6598, 5.7494, 0.0000], [0.0000, 0.0000, 11.3053]], "species": ["Pr", "Pr", "Sc", "Sc", "Sc", "Sc", "Mo", "Mo", "N", "N", "N", "N", "N", "N", "N", "N"], "fractional_positions": [[0.1006, 0.8994, 0.7500], [0.8994, 0.1006, 0.2500], [0.3711, 0.6289, 0.5362], [0.3711, 0.6289, 0.9638], [0.6289, 0.3711, 0.0362], [0.6289, 0.3711, 0.4638], [0.1603, 0.8397, 0.2500], [0.8397, 0.1603, 0.7500], [0.0000, 0.0000, 0.0000], [0.0000, 0.0000, 0.5000], [0.2604, 0.7396, 0.1138], [0.2604, 0.7396, 0.3862], [0.4412, 0.5588, 0.7500], [0.5588, 0.4412, 0.2500], [0.7396, 0.2604, 0.6138], [0.7396, 0.2604, 0.8862]]}